# 1
In2HRuO after structural relaxation, computed with GGA-PBE.

SG: P4/mmm, No. 123
Raw total energy, eV/atom: -4.252

a b c (Å): 5.1019 3.3377 5.1019
angles (deg): 90.00 90.00 90.00
Last column: nearest neighbours and their distance in Å.
Fractional coordinates of all 5 atoms:
Ru: 0.0000 0.0000 0.0000  2 H 1.67
H: 0.0000 0.5000 0.0000  2 Ru 1.67
O: 0.5000 0.5000 0.5000  8 In 3.05, 2 O 3.34
In: 0.0000 0.0000 0.5000  2 Ru 2.55
In: 0.5000 0.0000 0.0000  2 Ru 2.55



# 2
In2H10S3O17 after structural relaxation, computed with GGA-PBE.

SG: P-1, No. 2
Raw total energy, eV/atom: -5.512

a b c (Å): 5.8266 10.9207 11.5708
angles (deg): 88.95 89.13 78.88
Last column: nearest neighbours and their distance in Å.
Fractional coordinates of all 64 atoms:
In: 0.4170 0.3880 0.2527  6 O 2.16-2.18
In: 0.5830 0.6120 0.7473  6 O 2.16-2.18
In: 0.0000 0.0000 0.5000  6 O 2.15-2.18
In: 0.0000 0.0000 0.0000  6 O 2.15-2.19
H: 0.6228 0.5522 0.3943  1 O 1.00
H: 0.8598 0.3856 0.6896  1 O 1.00
H: 0.1402 0.6144 0.3104  1 O 1.00
H: 0.6346 0.1808 0.9095  1 O 1.00
H: 0.7608 0.3985 0.0700  1 O 1.00
H: 0.3722 0.4608 0.8977  1 O 1.00
H: 0.5728 0.1804 0.5617  1 O 1.00
H: 0.3959 0.9504 0.3662  1 O 1.00
H: 0.1260 0.6127 0.1678  1 O 1.00
H: 0.7144 0.4118 0.4405  1 O 0.99
H: 0.3500 0.9457 0.1592  1 O 1.00
H: 0.6278 0.5392 0.1023  1 O 1.00
H: 0.2392 0.6015 0.9300  1 O 1.00
H: 0.4272 0.8196 0.4383  1 O 1.00
H: 0.6041 0.0496 0.6338  1 O 1.00
H: 0.3654 0.8192 0.0905  1 O 1.00
H: 0.8740 0.3873 0.8322  1 O 1.00
H: 0.3772 0.4478 0.6057  1 O 1.00
H: 0.2856 0.5882 0.5595  1 O 0.99
H: 0.6500 0.0543 0.8408  1 O 1.00
S: 0.3043 0.9134 0.7474  4 O 1.47-1.50
S: 0.7992 0.7254 0.9937  4 O 1.48-1.50
S: 0.2008 0.2746 0.0063  4 O 1.48-1.50
S: 0.1414 0.2924 0.4917  4 O 1.48-1.50
S: 0.6957 0.0866 0.2526  4 O 1.47-1.50
S: 0.8586 0.7076 0.5083  4 O 1.48-1.50
O: 0.3917 0.5366 0.6157  2 H 0.99-1.00
O: 0.2163 0.5782 0.2377  2 H 1.00
O: 0.3585 0.5517 0.8779  2 H 1.00
O: 0.1505 0.3623 0.3797  1 S 1.50
O: 0.2227 0.3007 0.1319  1 S 1.50
O: 0.1624 0.1574 0.4638  1 S 1.50
O: 0.0874 0.6580 0.4529  1 S 1.48
O: 0.8376 0.8426 0.5362  1 S 1.50
O: 0.4925 0.0246 0.2512  1 S 1.47
O: 0.0322 0.6579 0.0326  1 S 1.49
O: 0.7832 0.1055 0.1331  1 S 1.49
O: 0.9678 0.3421 0.9674  1 S 1.49
O: 0.7779 0.8635 0.0066  1 S 1.50
O: 0.8881 0.0101 0.3209  1 S 1.49
O: 0.2168 0.8945 0.8669  1 S 1.49
O: 0.5075 0.9754 0.7488  1 S 1.47
O: 0.6334 0.2125 0.3068  1 S 1.50
O: 0.6601 0.6953 0.4333  1 S 1.48
O: 0.6755 0.0971 0.5732  2 H 1.00
O: 0.6067 0.6892 0.0634  1 S 1.48
O: 0.7464 0.1067 0.8805  2 H 1.00
O: 0.9126 0.3420 0.5471  1 S 1.48
O: 0.8495 0.6377 0.6203  1 S 1.50
O: 0.2536 0.8933 0.1195  2 H 1.00
O: 0.3666 0.7875 0.6932  1 S 1.50
O: 0.6415 0.4483 0.1221  2 H 1.00
O: 0.3245 0.9029 0.4268  2 H 1.00
O: 0.7837 0.4218 0.7623  2 H 1.00
O: 0.1119 0.9899 0.6791  1 S 1.49
O: 0.3933 0.3108 0.9366  1 S 1.48
O: 0.3399 0.3047 0.5667  1 S 1.48
O: 0.6083 0.4634 0.3843  2 H 0.99-1.00
O: 0.2221 0.1365 0.9934  1 S 1.50
O: 0.7773 0.6993 0.8681  1 S 1.50



# 3
InH9S2O12 after structural relaxation, computed with GGA-PBE.

SG: Pnma, No. 62
Raw total energy, eV/atom: -5.416

a b c (Å): 5.6803 9.9345 18.5380
angles (deg): 90.00 90.00 90.00
Last column: nearest neighbours and their distance in Å.
Fractional coordinates of all 96 atoms:
In: 0.0000 0.0000 0.0000  6 O 2.13-2.24
In: 0.5000 0.5000 0.0000  6 O 2.13-2.24
In: 0.0000 0.0000 0.5000  6 O 2.13-2.24
In: 0.5000 0.5000 0.5000  6 O 2.13-2.24
H: 0.5618 0.4992 0.2500  1 O 1.10
H: 0.4382 0.5008 0.7500  1 O 1.10
H: 0.0618 0.0008 0.7500  1 O 1.10
H: 0.9382 0.9992 0.2500  1 O 1.10
H: 0.6331 0.0821 0.1004  1 O 0.99
H: 0.3669 0.9179 0.8996  1 O 0.99
H: 0.1331 0.4179 0.8996  1 O 0.99
H: 0.3669 0.9179 0.6004  1 O 0.99
H: 0.8669 0.5821 0.1004  1 O 0.99
H: 0.6331 0.0821 0.3996  1 O 0.99
H: 0.8669 0.5821 0.3996  1 O 0.99
H: 0.1331 0.4179 0.6004  1 O 0.99
H: 0.3325 0.0764 0.6058  1 O 0.99
H: 0.6675 0.9236 0.3942  1 O 0.99
H: 0.8325 0.4236 0.3942  1 O 0.99
H: 0.6675 0.9236 0.1058  1 O 0.99
H: 0.1675 0.5764 0.6058  1 O 0.99
H: 0.3325 0.0764 0.8942  1 O 0.99
H: 0.1675 0.5764 0.8942  1 O 0.99
H: 0.8325 0.4236 0.1058  1 O 0.99
H: 0.5464 0.6602 0.2054  1 O 1.01
H: 0.4536 0.3398 0.7946  1 O 1.01
H: 0.0464 0.8398 0.7946  1 O 1.01
H: 0.4536 0.3398 0.7054  1 O 1.01
H: 0.9536 0.1602 0.2054  1 O 1.01
H: 0.5464 0.6602 0.2946  1 O 1.01
H: 0.9536 0.1602 0.2946  1 O 1.01
H: 0.0464 0.8398 0.7054  1 O 1.01
H: 0.5049 0.3113 0.2069  1 O 0.99
H: 0.4951 0.6887 0.7931  1 O 0.99
H: 0.0049 0.1887 0.7931  1 O 0.99
H: 0.4951 0.6887 0.7069  1 O 0.99
H: 0.9951 0.8113 0.2069  1 O 0.99
H: 0.5049 0.3113 0.2931  1 O 0.99
H: 0.9951 0.8113 0.2931  1 O 0.99
H: 0.0049 0.1887 0.7069  1 O 0.99
S: 0.2157 0.2626 0.0933  4 O 1.48-1.51
S: 0.7843 0.7374 0.9067  4 O 1.48-1.51
S: 0.7157 0.2374 0.9067  4 O 1.48-1.51
S: 0.7843 0.7374 0.5933  4 O 1.48-1.51
S: 0.2843 0.7626 0.0933  4 O 1.48-1.51
S: 0.2157 0.2626 0.4067  4 O 1.48-1.51
S: 0.2843 0.7626 0.4067  4 O 1.48-1.51
S: 0.7157 0.2374 0.5933  4 O 1.48-1.51
O: 0.2576 0.4069 0.0721  1 S 1.51
O: 0.7424 0.5931 0.9279  1 S 1.51
O: 0.7576 0.0931 0.9279  1 S 1.51
O: 0.7424 0.5931 0.5721  1 S 1.51
O: 0.2424 0.9069 0.0721  1 S 1.51
O: 0.2576 0.4069 0.4279  1 S 1.51
O: 0.2424 0.9069 0.4279  1 S 1.51
O: 0.7576 0.0931 0.5721  1 S 1.51
O: 0.1754 0.1861 0.0244  1 S 1.50
O: 0.8246 0.8139 0.9756  1 S 1.50
O: 0.6754 0.3139 0.9756  1 S 1.50
O: 0.8246 0.8139 0.5244  1 S 1.50
O: 0.3246 0.6861 0.0244  1 S 1.50
O: 0.1754 0.1861 0.4756  1 S 1.50
O: 0.3246 0.6861 0.4756  1 S 1.50
O: 0.6754 0.3139 0.5244  1 S 1.50
O: 0.4208 0.2078 0.1324  1 S 1.48
O: 0.5792 0.7922 0.8676  1 S 1.48
O: 0.9208 0.2922 0.8676  1 S 1.48
O: 0.5792 0.7922 0.6324  1 S 1.48
O: 0.0792 0.7078 0.1324  1 S 1.48
O: 0.4208 0.2078 0.3676  1 S 1.48
O: 0.0792 0.7078 0.3676  1 S 1.48
O: 0.9208 0.2922 0.6324  1 S 1.48
O: 0.7494 0.0084 0.0934  2 H 0.99
O: 0.2506 0.9916 0.9066  2 H 0.99
O: 0.2494 0.4916 0.9066  2 H 0.99
O: 0.2506 0.9916 0.5934  2 H 0.99
O: 0.7506 0.5084 0.0934  2 H 0.99
O: 0.7494 0.0084 0.4066  2 H 0.99
O: 0.7506 0.5084 0.4066  2 H 0.99
O: 0.2494 0.4916 0.5934  2 H 0.99
O: 0.5536 0.3633 0.2500  2 H 0.99
O: 0.4464 0.6367 0.7500  2 H 0.99
O: 0.0536 0.1367 0.7500  2 H 0.99
O: 0.9464 0.8633 0.2500  2 H 0.99
O: 0.5936 0.6087 0.2500  3 H 1.01-1.10
O: 0.4064 0.3913 0.7500  3 H 1.01-1.10
O: 0.0936 0.8913 0.7500  3 H 1.01-1.10
O: 0.9064 0.1087 0.2500  3 H 1.01-1.10
O: 0.0001 0.2641 0.1382  1 S 1.48, 1 H 1.64
O: 0.9998 0.7359 0.8618  1 S 1.48, 1 H 1.64
O: 0.5002 0.2359 0.8618  1 S 1.48, 1 H 1.64
O: 0.9998 0.7359 0.6382  1 S 1.48, 1 H 1.64
O: 0.4998 0.7641 0.1382  1 S 1.48, 1 H 1.64
O: 0.0001 0.2641 0.3618  1 S 1.48, 1 H 1.64
O: 0.4998 0.7641 0.3618  1 S 1.48, 1 H 1.64
O: 0.5002 0.2359 0.6382  1 S 1.48, 1 H 1.64



# 4
InHSeO4 after structural relaxation, computed with GGA-PBE.

SG: Pna2_1, No. 33
Relative energy among the computed polymorphs, eV per atom: 0.117

a b c (Å): 4.8700 6.4024 12.1239
angles (deg): 90.00 90.00 90.00
Last column: nearest neighbours and their distance in Å.
Fractional coordinates of all 28 atoms:
In: 0.4879 0.9708 0.0091  4 O 2.06-2.28
In: 0.9879 0.4708 0.4909  4 O 2.06-2.28
In: 0.5121 0.4708 0.9909  4 O 2.06-2.28
In: 0.0121 0.9708 0.5091  4 O 2.06-2.28
H: 0.9722 0.0907 0.8861  1 O 1.04
H: 0.0278 0.5907 0.1139  1 O 1.04
H: 0.4722 0.5907 0.6139  1 O 1.04
H: 0.5278 0.0907 0.3861  1 O 1.04
Se: 0.9844 0.7477 0.8108  3 O 1.68-1.86
Se: 0.5156 0.7477 0.3108  3 O 1.68-1.86
Se: 0.0156 0.2477 0.1892  3 O 1.68-1.86
Se: 0.4844 0.2477 0.6892  3 O 1.68-1.86
O: 0.7491 0.7290 0.9196  1 Se 1.75
O: 0.7509 0.7290 0.4196  1 Se 1.75
O: 0.2509 0.2290 0.0804  1 Se 1.75
O: 0.2491 0.2290 0.5804  1 Se 1.75
O: 0.1369 0.9941 0.8652  1 H 1.04
O: 0.2781 0.5674 0.3413  1 Se 1.68
O: 0.8631 0.4941 0.1348  1 H 1.04
O: 0.7219 0.0674 0.6587  1 Se 1.68
O: 0.7781 0.0674 0.1587  1 Se 1.68
O: 0.6369 0.4941 0.6348  1 H 1.04
O: 0.2219 0.5674 0.8413  1 Se 1.68
O: 0.3631 0.9941 0.3652  1 H 1.04
O: 0.6798 0.2069 0.9209  1 H 1.66
O: 0.8202 0.2069 0.4209  1 H 1.66
O: 0.3202 0.7069 0.0791  1 H 1.66
O: 0.1798 0.7069 0.5791  1 H 1.66



# 5
In2HSeO after structural relaxation, computed with GGA-PBE.

SG: P4/mmm, No. 123
Raw total energy, eV/atom: -3.188

a b c (Å): 5.4327 3.4590 5.4327
angles (deg): 90.00 90.00 90.00
Last column: nearest neighbours and their distance in Å.
Fractional coordinates of all 5 atoms:
H: 0.0000 0.5000 0.0000  2 Se 1.73
O: 0.5000 0.5000 0.5000  8 In 3.22, 2 O 3.46
Se: 0.0000 0.0000 0.0000  2 H 1.73
In: 0.0000 0.0000 0.5000  2 Se 2.72
In: 0.5000 0.0000 0.0000  2 Se 2.72



# 6
InHSeO4 after structural relaxation, computed with GGA-PBE.

SG: P-1, No. 2
Relative energy among the computed polymorphs, eV per atom: 0.000

a b c (Å): 5.7733 8.2241 8.3051
angles (deg): 87.45 79.69 82.87
Last column: nearest neighbours and their distance in Å.
Fractional coordinates of all 28 atoms:
In: 0.8058 0.6857 0.4890  6 O 2.12-2.26
In: 0.3946 0.9799 0.8133  6 O 2.12-2.26
In: 0.6054 0.0201 0.1867  6 O 2.12-2.26
In: 0.1942 0.3143 0.5110  6 O 2.12-2.26
H: 0.6564 0.2373 0.3877  1 O 0.98
H: 0.9903 0.0828 0.6964  1 O 0.98
H: 0.0097 0.9172 0.3036  1 O 0.98
H: 0.3436 0.7627 0.6123  1 O 0.98
Se: 0.3952 0.6443 0.2378  3 O 1.71-1.79
Se: 0.9296 0.7322 0.8827  3 O 1.70-1.80
Se: 0.6048 0.3557 0.7622  3 O 1.71-1.79
Se: 0.0704 0.2678 0.1173  3 O 1.70-1.80
O: 0.0245 0.2153 0.3219  1 Se 1.72
O: 0.6484 0.5682 0.3082  1 Se 1.71
O: 0.4922 0.7855 0.6436  1 H 0.98
O: 0.1418 0.8205 0.9530  1 Se 1.70
O: 0.8503 0.8825 0.3176  1 H 0.98
O: 0.1497 0.1175 0.6824  1 H 0.98
O: 0.1688 0.5638 0.3851  1 Se 1.79
O: 0.8312 0.4362 0.6149  1 Se 1.79
O: 0.6656 0.8660 0.9609  1 Se 1.80
O: 0.3516 0.4318 0.6918  1 Se 1.71
O: 0.6506 0.1535 0.7052  1 Se 1.72
O: 0.3494 0.8465 0.2948  1 Se 1.72
O: 0.9755 0.7847 0.6781  1 Se 1.72
O: 0.5078 0.2145 0.3564  1 H 0.98
O: 0.3344 0.1340 0.0391  1 Se 1.80
O: 0.8582 0.1795 0.0470  1 Se 1.70



# 7
Sm6In2HO after structural relaxation, computed with GGA-PBE.

SG: I4/mmm, No. 139
Raw total energy, eV/atom: -5.080

a b c (Å): 6.9910 6.9903 9.8689
angles (deg): 90.00 90.00 90.00
Last column: nearest neighbours and their distance in Å.
Fractional coordinates of all 20 atoms:
Sm: 0.5000 0.2500 0.2472  1 O 2.44, 1 H 2.49
Sm: 0.5000 0.2500 0.7528  1 O 2.44, 1 H 2.49
Sm: 0.0000 0.7500 0.2528  1 O 2.44, 1 H 2.49
Sm: 0.0000 0.7500 0.7472  1 O 2.44, 1 H 2.49
Sm: 0.2463 0.9962 0.5000  1 O 2.43, 1 H 2.51
Sm: 0.7537 0.9962 0.5000  1 O 2.43, 1 H 2.51
Sm: 0.2463 0.5037 0.5000  1 O 2.43, 1 H 2.51
Sm: 0.7537 0.5037 0.5000  1 O 2.43, 1 H 2.51
Sm: 0.7463 0.4963 0.0000  1 O 2.43, 1 H 2.51
Sm: 0.2537 0.4963 0.0000  1 O 2.43, 1 H 2.51
Sm: 0.2537 0.0038 0.0000  1 O 2.43, 1 H 2.51
Sm: 0.7463 0.0038 0.0000  1 O 2.43, 1 H 2.51
In: 0.5000 0.7501 0.2499  12 Sm 3.49-3.50
In: 0.0000 0.2499 0.7499  12 Sm 3.49-3.50
In: 0.5000 0.7501 0.7501  12 Sm 3.49-3.50
In: 0.0000 0.2499 0.2501  12 Sm 3.49-3.50
H: 0.5000 0.2498 0.5000  6 Sm 2.49-2.51
H: 0.0000 0.7502 0.0000  6 Sm 2.49-2.51
O: 0.0000 0.7499 0.5000  6 Sm 2.43-2.44
O: 0.5000 0.2501 0.0000  6 Sm 2.43-2.44



# 8
TlInH2O after structural relaxation, computed with GGA-PBE.

SG: P4/mmm, No. 123
Raw total energy, eV/atom: -3.139

a b c (Å): 3.6029 6.2453 3.6029
angles (deg): 90.00 90.00 90.00
Last column: nearest neighbours and their distance in Å.
Fractional coordinates of all 5 atoms:
H: 0.0000 0.0000 0.5000  2 Tl 1.80
H: 0.5000 0.0000 0.0000  2 Tl 1.80
Tl: 0.0000 0.0000 0.0000  4 H 1.80
O: 0.5000 0.5000 0.5000  4 In 2.55
In: 0.0000 0.5000 0.0000  4 O 2.55



# 9
Tl2InHO after structural relaxation, computed with GGA-PBE.

SG: P4/mmm, No. 123
Raw total energy, eV/atom: -3.024

a b c (Å): 5.5909 4.3721 5.5909
angles (deg): 90.00 90.00 90.00
Last column: nearest neighbours and their distance in Å.
Fractional coordinates of all 5 atoms:
H: 0.5000 0.5000 0.5000  8 Tl 3.55, 4 In 3.95
Tl: 0.0000 0.0000 0.5000  2 O 2.80
Tl: 0.5000 0.0000 0.0000  2 O 2.80
O: 0.0000 0.0000 0.0000  2 In 2.19
In: 0.0000 0.5000 0.0000  2 O 2.19



# 10
UInH2O6 after structural relaxation, computed with GGA-PBE.

SG: P-1, No. 2
Raw total energy, eV/atom: -6.838

a b c (Å): 5.2786 5.6236 5.8075
angles (deg): 64.59 62.60 56.29
Last column: nearest neighbours and their distance in Å.
Fractional coordinates of all 10 atoms:
U: 0.3162 0.3162 0.0515  4 O 1.96-1.98
In: 0.8162 0.8162 0.5515  6 O 2.18
H: 0.4296 0.7186 0.3193  1 O 0.98
H: 0.2027 0.9138 0.7837  1 O 0.98
O: 0.5556 0.2031 0.2876  1 U 1.96, 1 In 2.18
O: 0.2308 0.8997 0.3058  1 H 0.98
O: 0.9304 0.5593 0.2937  1 U 1.98, 1 In 2.18
O: 0.4015 0.7327 0.7973  1 H 0.98
O: 0.7020 0.0730 0.8095  1 U 1.98, 1 In 2.18
O: 0.0768 0.4292 0.8154  1 U 1.96, 1 In 2.18



# 11
InH3Os after structural relaxation, computed with GGA-PBE.

SG: Pm-3m, No. 221
Raw total energy, eV/atom: -3.222

a b c (Å): 3.7407 3.7407 3.7407
angles (deg): 90.00 90.00 90.00
Last column: nearest neighbours and their distance in Å.
Fractional coordinates of all 5 atoms:
H: 0.0000 0.5000 0.0000  2 In 1.87
H: 0.0000 0.0000 0.5000  2 In 1.87
H: 0.5000 0.0000 0.0000  2 In 1.87
Os: 0.5000 0.5000 0.5000  12 H 2.65
In: 0.0000 0.0000 0.0000  6 H 1.87



# 12
InH2Os after structural relaxation, computed with GGA-PBE.

SG: Fm-3m, No. 225
Relative energy among the computed polymorphs, eV per atom: 0.632

a b c (Å): 3.9222 3.9222 3.9222
angles (deg): 60.00 60.00 60.00
Last column: nearest neighbours and their distance in Å.
Fractional coordinates of all 4 atoms:
H: 0.2500 0.2500 0.2500  4 In 2.40, 4 Os 2.40
H: 0.7500 0.7500 0.7500  4 In 2.40, 4 Os 2.40
Os: 0.5000 0.5000 0.5000  8 H 2.40
In: 0.0000 0.0000 0.0000  8 H 2.40